1.
This record from Alexandria describes crystalline Ba2SrAu at its relaxed geometry. The functional is GGA-PBE.

Cell: 5.193 5.193 12.131 Å, 90.00 90.00 90.00°
Space group I4/mmm (No. 139)
Asymmetric unit:
Ba 0.000 0.500 0.250 [4 per cell]
Sr 0.000 0.000 0.000 [2 per cell]
Au 0.000 0.000 0.500 [2 per cell]

Properties
* ΔH_f (0 K): -0.074 eV per atom
* volume: 164 Å³/f.u.
* distance to the lowest polymorph of the same formula: 328.1 meV/atom
* DFT total energy: -2.27 eV/atom



2.
This record from Alexandria describes crystalline Sr2Ni2Pt at its relaxed geometry. The functional is GGA-PBE.

Cell: 6.864 6.864 4.473 Å, 90.00 90.00 90.00°
Space group P4/mbm (No. 127)
Asymmetric unit:
Sr 0.185 0.315 0.000 [4 per cell]
Ni 0.123 0.623 0.500 [4 per cell]
Pt 0.000 0.000 0.500 [2 per cell]

Properties
* ΔH_f (0 K): -0.191 eV per atom
* volume: 105 Å³/f.u.
* DFT total energy: -4.38 eV/atom



3.
This record from Alexandria describes crystalline BeAs4P at its relaxed geometry. The functional is GGA-PBE.

Cell: 7.714 7.714 7.714 Å, 90.00 90.00 90.00°
Space group F-43m (No. 216)
Asymmetric unit:
Be 0.000 0.000 0.000 [4 per cell]
As 0.126 0.126 0.374 [16 per cell]
P 0.250 0.250 0.750 [4 per cell]

Properties
* ΔH_f (0 K): 0.920 eV per atom
* volume: 115 Å³/f.u.
* DFT total energy: -3.70 eV/atom



4.
This record from Alexandria describes crystalline NiWS2 at its relaxed geometry. The functional is GGA-PBE.

Cell: 3.1349 3.1349 22.4720 Å, 90.00 90.00 120.00°
Space group R-3m (No. 166, hexagonal axes)
Asymmetric unit:
Ni 0.0000 0.0000 0.0000 [3 per cell]
W 0.0000 0.0000 0.5000 [3 per cell]
S 0.0000 0.0000 0.0942 [6 per cell]

Properties
* formation energy from raw total energies: -0.218 eV per atom
* volume: 64 Å³/f.u.
* distance to the lowest polymorph of the same formula: 0.0 meV/atom
* DFT total energy: -6.96 eV/atom